Record 1
Compound: HoTlHg
Source: the Open Quantum Materials Database
Functional: PBE
Structure: relaxed

Lattice parameters (Å, degrees): 4.917 4.917 4.917 60.00 60.00 60.00
Atoms (fractional coordinates):
Hg 0.250 0.250 0.250
Ho 0.750 0.750 0.750
Tl 0.000 0.000 0.000

Crystal system: cubic
SG: F-43m
Electronic total energy, eV per atom: -2.558



Record 2
Compound: DyPaTl
Source: the Open Quantum Materials Database
Functional: PBE
Structure: relaxed

Lattice parameters (Å, degrees): 5.146 5.146 5.146 60.00 60.00 60.00
Atoms (fractional coordinates):
Dy 0.250 0.250 0.250
Pa 0.750 0.750 0.750
Tl 0.000 0.000 0.000

Crystal system: cubic
SG: F-43m
Electronic total energy, eV per atom: -4.947



Record 3
Compound: HfTc2Sb
Source: the Open Quantum Materials Database
Functional: PBE
Structure: relaxed

Lattice parameters (Å, degrees): 4.613 4.613 7.960 90.00 90.00 120.00
Atoms (fractional coordinates):
Hf 0.000 0.000 0.000
Hf 0.000 0.000 0.500
Sb 0.333 0.667 0.250
Sb 0.667 0.333 0.750
Tc 0.667 0.333 0.098
Tc 0.667 0.333 0.402
Tc 0.333 0.667 0.598
Tc 0.333 0.667 0.902

Crystal system: hexagonal
SG: P6_3/mmc
Electronic total energy, eV per atom: -8.745



Record 4
Compound: PrAgPbSe3
Source: the Open Quantum Materials Database
Functional: PBE
Structure: relaxed

Lattice parameters (Å, degrees): 7.961 4.224 10.155 90.00 104.59 90.00
Atoms (fractional coordinates):
Ag 0.412 0.750 0.412
Ag 0.588 0.250 0.588
Pb 0.761 0.250 0.301
Pb 0.239 0.750 0.699
Pr 0.203 0.250 0.158
Pr 0.797 0.750 0.842
Se 0.931 0.750 0.144
Se 0.466 0.750 0.165
Se 0.216 0.250 0.460
Se 0.784 0.750 0.540
Se 0.534 0.250 0.835
Se 0.069 0.250 0.856

Crystal system: monoclinic
SG: P2_1/m
Electronic total energy, eV per atom: -4.591



Record 5
Compound: GaFeRePt
Source: the Open Quantum Materials Database
Functional: PBE
Structure: relaxed

Lattice parameters (Å, degrees): 4.335 4.335 4.335 60.00 60.00 60.00
Atoms (fractional coordinates):
Fe 0.750 0.750 0.750
Ga 0.000 0.000 0.000
Pt 0.250 0.250 0.250
Re 0.500 0.500 0.500

Crystal system: cubic
SG: F-43m
Electronic total energy, eV per atom: -7.284



Record 6
Compound: Hf3CuCN
Source: the Open Quantum Materials Database
Functional: PBE
Structure: relaxed

Lattice parameters (Å, degrees): 3.246 3.246 18.675 90.00 90.00 120.00
Atoms (fractional coordinates):
C 0.333 0.667 0.074
C 0.667 0.333 0.926
Cu 0.000 0.000 0.254
Cu 0.000 0.000 0.746
Hf 0.000 0.000 0.000
Hf 0.667 0.333 0.140
Hf 0.667 0.333 0.361
Hf 0.000 0.000 0.500
Hf 0.333 0.667 0.639
Hf 0.333 0.667 0.860
N 0.333 0.667 0.430
N 0.667 0.333 0.570

Crystal system: trigonal
SG: P-3m1
Electronic total energy, eV per atom: -9.410



Record 7
Compound: Cs4Ag2BiN
Source: the Open Quantum Materials Database
Functional: PBE
Structure: relaxed

Lattice parameters (Å, degrees): 7.358 6.831 6.831 117.02 90.00 90.00
Atoms (fractional coordinates):
Ag 0.303 0.947 0.947
Ag 0.697 0.947 0.947
Bi 0.000 0.197 0.197
Cs 0.500 0.570 0.251
Cs 0.000 0.844 0.512
Cs 0.500 0.251 0.570
Cs 0.000 0.512 0.844
N 0.500 0.734 0.734

Crystal system: orthorhombic
SG: Amm2
Electronic total energy, eV per atom: -2.667



Record 8
Compound: PmPtW
Source: the Open Quantum Materials Database
Functional: PBE
Structure: relaxed

Lattice parameters (Å, degrees): 4.636 4.636 4.636 60.00 60.00 60.00
Atoms (fractional coordinates):
Pm 0.250 0.250 0.250
Pt 0.000 0.000 0.000
W 0.750 0.750 0.750

Crystal system: cubic
Formation energy from the elements, eV/atom: 0.454
SG: F-43m
Electronic total energy, eV per atom: -7.467



Record 9
Compound: LaLuAgAu
Source: the Open Quantum Materials Database
Functional: PBE
Structure: relaxed

Lattice parameters (Å, degrees): 5.202 5.202 5.202 60.00 60.00 60.00
Atoms (fractional coordinates):
Ag 0.250 0.250 0.250
Au 0.750 0.750 0.750
La 0.500 0.500 0.500
Lu 0.000 0.000 0.000

Crystal system: cubic
Formation energy from the elements, eV/atom: -0.550
SG: F-43m
Electronic total energy, eV per atom: -4.435



Record 10
Compound: Ni2Pd3
Source: the Open Quantum Materials Database
Functional: PBE
Structure: relaxed

Lattice parameters (Å, degrees): 6.501 6.501 5.530 126.00 54.00 120.00
Atoms (fractional coordinates):
Ni 0.592 0.408 0.225
Ni 0.908 0.092 0.275
Ni 0.092 0.908 0.725
Ni 0.408 0.592 0.775
Pd 0.506 0.750 0.250
Pd 0.994 0.494 0.250
Pd 0.250 0.006 0.250
Pd 0.750 0.994 0.750
Pd 0.006 0.506 0.750
Pd 0.494 0.250 0.750

Crystal system: trigonal
Formation energy from the elements, eV/atom: 0.273
SG: R-3c
Electronic total energy, eV per atom: -5.059



Record 11
Compound: NaTbAu3S4
Source: the Open Quantum Materials Database
Functional: PBE
Structure: relaxed

Lattice parameters (Å, degrees): 6.058 8.786 9.933 90.00 105.45 90.00
Last column: magnetic moment on the atom in μB.
Atoms (fractional coordinates):
Au 0.631 0.750 0.203  0.09
Au 0.708 0.584 0.488  0.01
Au 0.708 0.916 0.488  0.01
Au 0.292 0.084 0.512  0.01
Au 0.292 0.416 0.512  0.01
Au 0.369 0.250 0.797  0.09
Na 0.706 0.250 0.172  0.00
Na 0.294 0.750 0.828  0.00
S 0.245 0.750 0.090  0.09
S 0.894 0.526 0.307  0.04
S 0.894 0.974 0.307  0.04
S 0.488 0.250 0.392  0.00
S 0.512 0.750 0.608  0.00
S 0.106 0.026 0.693  0.04
S 0.106 0.474 0.693  0.04
S 0.755 0.250 0.910  0.09
Tb 0.197 0.750 0.344  0.00
Tb 0.803 0.250 0.656  0.00

Crystal system: monoclinic
SG: P2_1/m
Electronic total energy, eV per atom: -4.199



Record 12
Compound: TaCdIn2
Source: the Open Quantum Materials Database
Functional: PBE
Structure: relaxed

Lattice parameters (Å, degrees): 4.998 4.998 4.998 60.00 60.00 60.00
Last column: magnetic moment on the atom in μB.
Atoms (fractional coordinates):
Cd 0.750 0.750 0.750  0.00
In 0.250 0.250 0.250  0.01
In 0.500 0.500 0.500  -0.01
Ta 0.000 0.000 0.000  0.95

Crystal system: cubic
SG: F-43m
Electronic total energy, eV per atom: -3.893



Record 13
Compound: HoTmSi4Pd2
Source: the Open Quantum Materials Database
Functional: PBE
Structure: relaxed

Lattice parameters (Å, degrees): 4.026 9.110 9.110 24.98 90.00 90.00
Atoms (fractional coordinates):
Ho 0.000 0.597 0.597
Pd 0.500 0.169 0.169
Pd 0.000 0.831 0.831
Si 0.500 0.035 0.035
Si 0.000 0.249 0.249
Si 0.500 0.752 0.752
Si 0.000 0.965 0.965
Tm 0.500 0.403 0.403

Crystal system: orthorhombic
SG: Amm2
Electronic total energy, eV per atom: -5.929